1.
# KTbSiS4 PBE optimized geometry
data_KTbSiS4
_cell_length_a 6.4284
_cell_length_b 6.6172
_cell_length_c 8.7419
_cell_angle_alpha 90.00
_cell_angle_beta 107.28
_cell_angle_gamma 90.00
_symmetry_space_group_name_H-M 'P 1 21/m 1'
_symmetry_Int_Tables_number 11
loop_
_symmetry_equiv_pos_as_xyz
'x,y,z'
'-x,-y,-z'
'-x,y+1/2,-z'
'x,-y+1/2,z'
loop_
_atom_site_label
_atom_site_fract_x
_atom_site_fract_y
_atom_site_fract_z
K1 0.2315 0.2500 0.4355
Tb1 0.2733 0.2500 0.9497
Si1 0.2753 0.7500 0.1721
S1 0.0790 0.7500 0.3271
S2 0.0799 0.7500 0.9290
S3 0.4969 0.9998 0.2105
# energy	-5.374	eV/atom
# formation energy (no corrections)	-961	kJ/mol of formula units
# Fermi-level density of states	0.000	states/eV/atom


2.
# KSi2TeS8 PBE optimized geometry
data_KSi2TeS8
_cell_length_a 6.0903
_cell_length_b 6.0903
_cell_length_c 28.4065
_cell_angle_alpha 90.00
_cell_angle_beta 90.00
_cell_angle_gamma 120.00
_symmetry_space_group_name_H-M 'R -3'
_symmetry_Int_Tables_number 148
_symmetry_space_group_name_Hall '-R 3'
loop_
_atom_site_label
_atom_site_fract_x
_atom_site_fract_y
_atom_site_fract_z
K1 0.0000 0.0000 0.0000
Si1 0.0000 0.0000 0.2405
Te1 0.0000 0.0000 0.5000
S1 0.0000 0.0000 0.3142
S2 0.0013 0.3215 0.1109
# energy	-4.235	eV/atom
# formation energy (no corrections)	-262	kJ/mol of formula units
# Fermi-level density of states	0.877	states/eV/atom


3.
# K2SiTeS PBE optimized geometry
data_K2SiTeS
_cell_length_a 5.8486
_cell_length_b 5.8486
_cell_length_c 5.4337
_cell_angle_alpha 90.00
_cell_angle_beta 90.00
_cell_angle_gamma 90.00
_symmetry_space_group_name_H-M 'P 4/m m m'
_symmetry_Int_Tables_number 123
_symmetry_space_group_name_Hall '-P 4 2'
loop_
_atom_site_label
_atom_site_fract_x
_atom_site_fract_y
_atom_site_fract_z
K1 0.0000 0.5000 0.0000
Si1 0.0000 0.0000 0.5000
Te1 0.5000 0.5000 0.5000
S1 0.5000 0.5000 0.0000
# energy	-2.882	eV/atom
# formation energy (no corrections)	46	kJ/mol of formula units
# Fermi-level density of states	0.436	states/eV/atom


4.
# K2TlSiS4 PBE optimized geometry
data_K2TlSiS4
_cell_length_a 6.5841
_cell_length_b 13.1656
_cell_length_c 24.4065
_cell_angle_alpha 90.00
_cell_angle_beta 90.00
_cell_angle_gamma 90.00
_symmetry_space_group_name_H-M 'F d d d'
_symmetry_Int_Tables_number 70
loop_
_symmetry_equiv_pos_as_xyz
'x,y,z'
'-x,-y,-z'
'-x+1/4,-y+1/4,z'
'x+1/4,y+1/4,-z'
'x,-y+1/4,-z+1/4'
'-x,y+1/4,z+1/4'
'-x+1/4,y,-z+1/4'
'x+1/4,-y,z+1/4'
'x,y+1/2,z+1/2'
'-x,-y+1/2,-z+1/2'
'-x+1/4,-y+3/4,z+1/2'
'x+1/4,y+3/4,-z+1/2'
'x,-y+3/4,-z+3/4'
'-x,y+3/4,z+3/4'
'-x+1/4,y+1/2,-z+3/4'
'x+1/4,-y+1/2,z+3/4'
'x+1/2,y,z+1/2'
'-x+1/2,-y,-z+1/2'
'-x+3/4,-y+1/4,z+1/2'
'x+3/4,y+1/4,-z+1/2'
'x+1/2,-y+1/4,-z+3/4'
'-x+1/2,y+1/4,z+3/4'
'-x+3/4,y,-z+3/4'
'x+3/4,-y,z+3/4'
'x+1/2,y+1/2,z'
'-x+1/2,-y+1/2,-z'
'-x+3/4,-y+3/4,z'
'x+3/4,y+3/4,-z'
'x+1/2,-y+3/4,-z+1/4'
'-x+1/2,y+3/4,z+1/4'
'-x+3/4,y+1/2,-z+1/4'
'x+3/4,-y+1/2,z+1/4'
loop_
_atom_site_label
_atom_site_fract_x
_atom_site_fract_y
_atom_site_fract_z
K1 0.1250 0.1250 0.3158
Tl1 0.1250 0.1250 0.1250
Si1 0.1250 0.1250 0.6250
S1 0.0576 0.2756 0.8250
# energy	-4.033	eV/atom
# formation energy (no corrections)	-556	kJ/mol of formula units
# Fermi-level density of states	0.647	states/eV/atom